No. 1
A geometry-optimized PmEr2TmAs4 structure. Source: Alexandria via LeMat-Bulk, functional PBE.

* VASP energy: -0.225 Ha/atom
* magnetization: 0.0 μB/f.u.
* calculated formation energy: -12.07 eV/f.u.

a b c (Å): 7.1306 4.1202 7.1318
angles (deg): 90.00 109.47 90.00
Space group P2/m (No. 10)
Inequivalent atoms, fractional coordinates:
Pm1 0.0000 0.0000 0.0000
Er1 0.0000 0.5000 0.5000
Er2 0.5000 0.0000 0.5000
Tm1 0.5000 0.5000 0.0000
As1 0.2541 0.0000 0.7476
As2 0.2569 0.5000 0.2561

=====

No. 2
A geometry-optimized NdSmHo14 structure. Source: Alexandria via LeMat-Bulk, functional PBE.

* VASP energy: -0.169 Ha/atom
* magnetization: 0.0 μB/f.u.
* calculated formation energy: 0.11 eV/f.u.

a b c (Å): 11.4429 7.1185 12.3064
angles (deg): 90.00 90.00 90.00
Space group Amm2 (No. 38)
Inequivalent atoms, fractional coordinates:
Nd1 0.0000 0.0000 0.0000
Sm1 0.0000 0.0000 0.5002
Ho1 0.0000 0.2500 0.2503
Ho2 0.2513 0.0000 0.6674
Ho3 0.2518 0.0000 0.1675
Ho4 0.2531 0.2499 0.4170
Ho5 0.5000 0.0000 0.3341
Ho6 0.5000 0.0000 0.8340
Ho7 0.5000 0.2501 0.0844